Below is a geometry-optimized NaGaPb6 structure, with properties calculated at the PBE level.

Output
**Energy above the lowest structure with this stoichiometry**: 62 meV per atom
**Uncorrected energy**: -26.2 eV/cell
**Formation energy**: 0.044 eV/atom

Cell: 6.835 6.835 7.567 Å, 106.39 106.39 120.85°
Fractional coordinates of all 8 atoms:
Pb 0.283 0.761 0.737
Pb 0.717 0.239 0.263
Pb 0.729 0.729 0.262
Pb 0.239 0.717 0.263
Pb 0.761 0.283 0.737
Pb 0.271 0.271 0.738
Na 0.000 0.000 0.000
Ga 0.500 0.500 0.500